Record 1
A plane-wave DFT calculation with PBE-GGA was carried out for crystalline La6Pt3I2 at its relaxed geometry.

Calculated values
formation energy without anion corrections = -1.06 eV/atom
space-group type = No. 12
uncorrected energy = -5.68 eV per atom
M_tot = 0.0 Bohr magnetons per cell

abc: 7.507 7.497 8.344
angles: 81.47 72.76 59.96
Atoms (fractional coordinates):
1 La 0.398 0.673 0.805
2 La 0.724 0.000 0.807
3 La 0.071 0.327 0.805
4 La 0.276 0.000 0.193
5 La 0.602 0.327 0.195
6 La 0.929 0.673 0.195
7 Pt 0.000 0.000 0.000
8 Pt 0.330 0.339 0.000
9 Pt 0.670 0.661 0.000
10 I 0.167 0.666 0.500
11 I 0.833 0.334 0.500



Record 2
A plane-wave DFT calculation with PBE-GGA was carried out for crystalline La3PtI at its relaxed geometry.

Calculated values
formation energy without anion corrections = -0.58 eV/atom
space-group type = No. 221
polymorph energy (0 for the lowest one) = 0 meV per atom
uncorrected energy = -5.06 eV per atom
M_tot = 0.0 Bohr magnetons per cell

abc: 5.766 5.766 5.766
angles: 90.00 90.00 90.00
Atoms (fractional coordinates):
1 I 0.500 0.500 0.500
2 Pt 0.000 0.000 0.000
3 La 0.000 0.500 0.000
4 La 0.000 0.000 0.500
5 La 0.500 0.000 0.000



Record 3
A plane-wave DFT calculation with PBE-GGA was carried out for crystalline La4Pt2I5 at its relaxed geometry.

Calculated values
formation energy without anion corrections = -1.20 eV/atom
space-group type = No. 71
polymorph energy (0 for the lowest one) = 55 meV per atom
uncorrected energy = -4.79 eV per atom
M_tot = 0.0 Bohr magnetons per cell

abc: 4.232 8.951 14.669
angles: 107.76 98.29 90.00
Atoms (fractional coordinates):
1 La 0.000 0.304 0.000
2 La 0.647 0.647 0.293
3 La 0.000 0.696 0.000
4 La 0.353 0.353 0.707
5 Pt 0.451 0.451 0.902
6 Pt 0.549 0.549 0.098
7 I 0.826 0.073 0.653
8 I 0.826 0.580 0.653
9 I 0.174 0.420 0.347
10 I 0.174 0.927 0.347
11 I 0.500 0.000 0.000



Record 4
A plane-wave DFT calculation with PBE-GGA was carried out for crystalline LaPt3I at its relaxed geometry.

Calculated values
formation energy without anion corrections = 0.17 eV/atom
space-group type = No. 221
polymorph energy (0 for the lowest one) = 0 meV per atom
uncorrected energy = -4.75 eV per atom
M_tot = 0.0 Bohr magnetons per cell

abc: 5.047 5.047 5.047
angles: 90.00 90.00 90.00
Atoms (fractional coordinates):
1 I 0.000 0.000 0.000
2 Pt 0.000 0.500 0.000
3 Pt 0.000 0.000 0.500
4 Pt 0.500 0.000 0.000
5 La 0.500 0.500 0.500



Record 5
A plane-wave DFT calculation with PBE-GGA was carried out for crystalline La2PtI2 at its relaxed geometry.

Calculated values
formation energy without anion corrections = -1.31 eV/atom
space-group type = No. 166
polymorph energy (0 for the lowest one) = 0 meV per atom
uncorrected energy = -5.11 eV per atom
M_tot = 0.0 Bohr magnetons per cell

abc: 4.343 4.343 11.952
angles: 79.53 79.53 60.00
Atoms (fractional coordinates):
1 La 0.380 0.380 0.859
2 La 0.620 0.620 0.141
3 Pt 0.000 0.000 0.000
4 I 0.890 0.890 0.331
5 I 0.110 0.110 0.669



Record 6
A plane-wave DFT calculation with PBE-GGA was carried out for crystalline La2PtI at its relaxed geometry.

Calculated values
formation energy without anion corrections = -0.81 eV/atom
space-group type = No. 225
polymorph energy (0 for the lowest one) = 417 meV per atom
uncorrected energy = -5.17 eV per atom
M_tot = 1.0 Bohr magnetons per cell

abc: 5.404 5.404 5.404
angles: 60.00 60.00 60.00
Last column: magnetic moment on the atom in μB.
Atoms (fractional coordinates):
1 I 0.000 0.000 0.000  0.01
2 Pt 0.500 0.500 0.500  0.08
3 La 0.250 0.250 0.250  0.20
4 La 0.750 0.750 0.750  0.20



What did the first record say?
A plane-wave DFT calculation with PBE-GGA was carried out for crystalline La6Pt3I2 at its relaxed geometry.

Calculated values
formation energy without anion corrections = -1.06 eV/atom
space-group type = No. 12
uncorrected energy = -5.68 eV per atom
M_tot = 0.0 Bohr magnetons per cell

abc: 7.507 7.497 8.344
angles: 81.47 72.76 59.96
Atoms (fractional coordinates):
1 La 0.398 0.673 0.805
2 La 0.724 0.000 0.807
3 La 0.071 0.327 0.805
4 La 0.276 0.000 0.193
5 La 0.602 0.327 0.195
6 La 0.929 0.673 0.195
7 Pt 0.000 0.000 0.000
8 Pt 0.330 0.339 0.000
9 Pt 0.670 0.661 0.000
10 I 0.167 0.666 0.500
11 I 0.833 0.334 0.500